No. 1
## Pm4NiIr2 (GGA-PBE)

Data for crystalline Pm4NiIr2 at its relaxed geometry.

Structure (extended XYZ):
```
14
Lattice="-2.8665 -2.1848 -6.7241 -4.1318 -3.1334 5.5865 -0.2508 7.5995 0.5649" Properties=species:S:1:pos:R:3 pbc="T T T"
Pm -5.6220 1.5935 -2.7819
Pm -2.8561 -1.1708 1.1968
Pm -4.1643 2.6523 0.5815
Pm -5.6519 -2.3257 -1.5672
Pm -1.8241 5.4050 -1.3534
Pm -2.3445 3.1087 -4.7164
Pm -1.7034 1.6024 -1.5982
Pm -3.5649 -0.7893 -4.3611
Ni -6.9976 -5.3143 -1.1372
Ni -3.9448 0.8980 2.7922
Ir -3.9311 3.8617 -2.4829
Ir -5.0671 -2.9095 1.6254
Ir -1.5249 3.6719 0.8777
Ir -3.9717 -0.0622 -1.1686
```

**DFT total energy**: -46.17 eV/f.u.
**Crystal system**: monoclinic
**Magnetization**: 0.00 μB/f.u.

=====

No. 2
## Pm12Ni6Ir (GGA-PBE)

Data for crystalline Pm12Ni6Ir at its relaxed geometry.

Structure (extended XYZ):
```
19
Lattice="-3.3884 2.3470 -7.0813 7.1084 -2.7774 -2.9820 -3.8224 -7.2052 0.7809" Properties=species:S:1:pos:R:3 pbc="T T T"
Pm -2.1063 -5.6845 -4.7998
Pm 1.1524 -8.2902 -1.6881
Pm -4.0582 -6.3129 -1.8320
Pm -5.2759 -2.8891 -6.0600
Pm 5.1734 -4.7465 -3.2224
Pm 2.0039 -1.9510 -4.4827
Pm 0.0994 -4.8611 -2.0679
Pm -1.2549 0.6547 -7.5943
Pm 2.1206 -5.5210 -4.9809
Pm 3.9557 -1.3227 -7.4504
Pm -2.2231 -2.1145 -4.3015
Pm -0.2019 -2.7744 -7.2146
Ni -2.4775 -4.0350 -2.1364
Ni 2.3751 -3.6005 -7.1461
Ni -2.8104 -3.9772 -6.7790
Ni 0.2362 -7.2596 -4.1126
Ni -0.3387 -0.3759 -5.1699
Ni 2.7079 -3.6583 -2.5034
Ir 0.0000 0.0000 0.0000
```

**DFT total energy**: -104.07 eV/f.u.
**Crystal system**: trigonal
**Magnetization**: 0.00 μB/f.u.

=====

No. 3
## PmNi3Ir2 (GGA-PBE)

Data for crystalline PmNi3Ir2 at its relaxed geometry.

Structure (extended XYZ):
```
12
Lattice="5.5385 0.0000 0.0000 2.7693 4.7965 0.0000 2.7693 1.5988 6.7279" Properties=species:S:1:pos:R:3 pbc="T T T"
Ni 4.2815 3.9234 2.1140
Ni 5.5385 1.7462 2.1140
Ni 5.5385 4.6491 4.6139
Ni 4.2815 2.4720 4.6139
Ni 6.7955 3.9234 2.1140
Ni 6.7955 2.4720 4.6139
Pm 8.3078 4.7965 4.3074
Pm 2.7693 1.5988 2.4205
Ir 0.0000 0.0000 0.0000
Ir 2.7693 0.0000 0.0000
Ir 4.1539 2.3982 0.0000
Ir 1.3846 2.3982 0.0000
```

**DFT total energy**: -40.28 eV/f.u.
**Crystal system**: trigonal
**Magnetization**: 0.00 μB/f.u.

=====

No. 4
## Pm4Ni3Ir (GGA-PBE)

Data for crystalline Pm4Ni3Ir at its relaxed geometry.

Structure (extended XYZ):
```
8
Lattice="3.8856 0.0000 0.0000 0.0000 4.2833 0.0000 0.0000 0.0000 10.5894" Properties=species:S:1:pos:R:3 pbc="T T T"
Pm 1.9428 0.0000 6.7495
Pm 1.9428 2.1417 3.8187
Pm 0.0000 2.1417 9.1063
Pm 0.0000 0.0000 1.4978
Ni 0.0000 0.0000 4.5958
Ni 1.9428 0.0000 9.7545
Ni 0.0000 2.1417 6.0275
Ir 1.9428 2.1417 0.8073
```

**DFT total energy**: -48.75 eV/f.u.
**Crystal system**: orthorhombic
**Magnetization**: 0.00 μB/f.u.

=====

No. 5
## Pm2NiIr (GGA-PBE)

Data for crystalline Pm2NiIr at its relaxed geometry.

Structure (extended XYZ):
```
4
Lattice="-2.7108 -1.7146 3.7705 1.0984 -4.3686 2.0526 1.9294 -0.1792 4.5552" Properties=species:S:1:pos:R:3 pbc="T T T"
Ir 0.1585 -3.1312 5.1892
Ni 0.0000 0.0000 0.0000
Pm 0.2378 -4.6968 7.7837
Pm 0.0793 -1.5656 2.5946
```

**DFT total energy**: -26.04 eV/f.u.
**Crystal system**: cubic
**Magnetization**: 0.00 μB/f.u.

=====

No. 6
## Pm3Ni2Ir7 (GGA-PBE)

Data for crystalline Pm3Ni2Ir7 at its relaxed geometry.

Structure (extended XYZ):
```
12
Lattice="5.0957 0.0000 1.5949 2.2982 4.5480 1.5949 -0.0442 -0.0272 9.0787" Properties=species:S:1:pos:R:3 pbc="T T T"
Ir 3.1005 0.3342 7.9693
Ir 3.6749 2.2604 6.1343
Ir 1.6966 2.6165 7.9693
Ir 4.2538 2.6165 8.7697
Ir 5.6531 1.9043 4.2992
Ir 4.2492 4.1866 4.2992
Ir 3.0959 1.9043 3.4988
Ni 4.8860 3.0053 11.2025
Ni 2.4638 1.5154 1.0661
Pm 0.0000 0.0000 0.0000
Pm 1.0119 0.6224 5.7045
Pm 6.3378 3.8983 6.5640
```

**DFT total energy**: -94.74 eV/f.u.
**Crystal system**: trigonal
**Magnetization**: 0.00 μB/f.u.

=====

No. 7
## Pm6NiIr2 (GGA-PBE)

Data for crystalline Pm6NiIr2 at its relaxed geometry.

Structure (extended XYZ):
```
18
Lattice="6.7415 0.0000 0.0897 0.0000 7.3800 0.0000 -0.7094 0.0000 10.0606" Properties=species:S:1:pos:R:3 pbc="T T T"
Ir 0.1717 4.5441 2.3159
Ir 5.8605 2.8358 7.8344
Ir 2.8444 0.8541 2.7592
Ir 3.1877 6.5258 7.3910
Pm 1.9215 6.0587 4.4030
Pm 1.7496 4.0514 7.5511
Pm 4.2825 3.3285 2.5991
Pm 0.8887 2.3955 4.2510
Pm 5.1434 4.9845 5.8992
Pm 2.1274 6.0855 0.8241
Pm 1.0946 2.3687 0.6721
Pm 0.5571 0.3614 7.5846
Pm 4.9375 5.0113 9.4781
Pm 3.9048 1.2945 9.3262
Pm 5.4751 7.0185 2.5657
Pm 4.1107 1.3213 5.7473
Ni 3.3708 3.6900 0.0448
Ni -0.3547 0.0000 5.0303
```

**DFT total energy**: -55.93 eV/f.u.
**Crystal system**: monoclinic
**Magnetization**: 0.00 μB/f.u.

=====

No. 8
## PmNi2Ir3 (GGA-PBE)

Data for crystalline PmNi2Ir3 at its relaxed geometry.

Structure (extended XYZ):
```
6
Lattice="4.0779 0.0000 0.0000 0.0000 4.5557 -2.6232 0.0000 -0.0062 5.2568" Properties=species:S:1:pos:R:3 pbc="T T T"
Ir 2.0390 0.0026 2.6250
Ir 2.0390 2.2805 1.3136
Ir 2.0390 2.2836 -1.3149
Ni 0.0000 3.0410 0.0005
Ni 0.0000 1.5198 2.6267
Pm 0.0000 0.0057 -0.0033
```

**DFT total energy**: -45.39 eV/f.u.
**Crystal system**: hexagonal
**Magnetization**: 0.00 μB/f.u.

=====

No. 9
## Pm8NiIr2 (GGA-PBE)

Data for crystalline Pm8NiIr2 at its relaxed geometry.

Structure (extended XYZ):
```
11
Lattice="-1.9218 -2.5571 5.5022 5.1238 -5.0657 -2.2549 3.3570 6.3156 2.4174" Properties=species:S:1:pos:R:3 pbc="T T T"
Pm 1.8026 1.5376 6.8998
Pm 0.9277 -2.7803 2.7018
Pm 2.8674 -5.3217 4.0839
Pm 0.4551 0.2637 3.9514
Pm 2.7040 -0.0181 1.0665
Pm 5.7790 1.6076 2.7032
Pm 6.2529 -1.4448 1.4501
Pm 3.9645 -1.2035 4.4309
Ni -0.3083 -0.4773 1.0460
Ir 3.0318 1.4974 3.6116
Ir 3.6851 -2.7108 1.8841
```

**DFT total energy**: -64.57 eV/f.u.
**Crystal system**: monoclinic
**Magnetization**: 0.00 μB/f.u.

=====

No. 10
## Pm2NiIr (GGA-PBE)

Data for crystalline Pm2NiIr at its relaxed geometry.

Structure (extended XYZ):
```
8
Lattice="4.1465 0.0000 0.0000 0.0000 5.7903 0.0515 0.0000 -2.8213 7.4596" Properties=species:S:1:pos:R:3 pbc="T T T"
Pm 1.0366 2.9373 4.2812
Pm 1.0366 4.3202 0.5845
Pm 3.1098 0.0317 3.2299
Pm 3.1098 -1.3512 6.9266
Ni 3.1098 1.5240 5.9178
Ni 1.0366 1.4450 1.5934
Ir 1.0366 0.0235 5.3519
Ir 3.1098 2.9455 2.1592
```

**DFT total energy**: -26.37 eV/f.u.
**Crystal system**: monoclinic
**Magnetization**: 0.00 μB/f.u.

=====

No. 11
## Pm6NiIr3 (GGA-PBE)

Data for crystalline Pm6NiIr3 at its relaxed geometry.

Structure (extended XYZ):
```
20
Lattice="6.9905 0.0000 -0.2056 0.0000 7.5036 0.0000 -0.2105 0.0000 10.2131" Properties=species:S:1:pos:R:3 pbc="T T T"
Ni 3.3900 3.7518 5.0038
Ni 0.0000 0.0000 0.0000
Ir -0.1052 0.0000 5.1066
Ir 3.6194 6.6736 7.3487
Ir 3.4952 3.7518 -0.1028
Ir 6.5505 2.9219 7.6626
Ir 0.2294 4.5817 2.3450
Ir 3.1605 0.8299 2.6588
Pm 4.5270 1.3305 9.2090
Pm 5.6157 5.0574 9.3763
Pm 5.6430 5.0823 5.8024
Pm 5.7503 7.0458 2.3702
Pm 4.6302 3.2941 2.4280
Pm 1.1643 2.4462 0.6313
Pm 2.2530 6.1730 0.7986
Pm 4.5543 1.3056 5.6351
Pm 1.1370 2.4212 4.2052
Pm 1.0297 0.4577 7.6374
Pm 2.2257 6.1980 4.3725
Pm 2.1498 4.2095 7.5796
```

**DFT total energy**: -65.78 eV/f.u.
**Crystal system**: monoclinic
**Magnetization**: 0.00 μB/f.u.

=====

No. 12
## Pm4NiIr (GGA-PBE)

Data for crystalline Pm4NiIr at its relaxed geometry.

Structure (extended XYZ):
```
6
Lattice="4.5624 -0.0029 0.0612 0.0009 5.4735 0.0243 0.0759 0.0795 6.8181" Properties=species:S:1:pos:R:3 pbc="T T T"
Pm 0.1086 3.1981 5.0976
Pm 4.5422 2.3036 1.7263
Pm 2.2658 5.0571 1.7947
Pm 2.3858 0.4415 5.1417
Ni 0.0421 0.0412 3.4095
Ir 2.3638 2.8232 6.8311
```

**DFT total energy**: -35.57 eV/f.u.
**Crystal system**: triclinic
**Magnetization**: 0.00 μB/f.u.

=====

No. 13
## PmPuNiIr (GGA-PBE)

Data for crystalline PmPuNiIr at its relaxed geometry.

Structure (extended XYZ):
```
4
Lattice="-2.8112 -1.5145 -3.6947 1.4612 -3.7111 -2.8178 -2.2732 -4.3135 0.2706" Properties=species:S:1:pos:R:3 pbc="T T T"
Ir -2.7174 -7.1543 -4.6814
Pu -1.8116 -4.7695 -3.1209
Ni -0.9058 -2.3848 -1.5605
Pm 0.0000 0.0000 0.0000
```

**DFT total energy**: -35.07 eV/f.u.
**Crystal system**: cubic
**Magnetization**: 5.38 μB/f.u.

=====

No. 14
## Pm2Ni3Sb4Ir (GGA-PBE)

Data for crystalline Pm2Ni3Sb4Ir at its relaxed geometry.

Structure (extended XYZ):
```
10
Lattice="-1.8213 0.2677 4.0980 -0.3283 -4.4780 0.1466 9.2477 -0.5422 4.1454" Properties=species:S:1:pos:R:3 pbc="T T T"
Sb 4.9587 -0.2103 4.6800
Sb 0.0000 0.0000 0.0000
Sb 3.2141 -2.4371 1.5877
Sb -1.0748 -2.1052 2.1223
Ni 0.9569 -2.3047 0.5758
Ni 4.6238 -0.2711 2.0727
Ni 7.2160 -0.3427 5.6919
Ir 3.5490 -2.3763 4.1950
Pm 1.4802 -0.0064 3.1207
Pm 6.6927 -2.6411 3.1470
```

**DFT total energy**: -58.20 eV/f.u.
**Crystal system**: tetragonal
**Magnetization**: 0.00 μB/f.u.
**Uncorrected formation energy**: -6.00 eV/f.u.

=====

No. 15
## Pm2Ni4Sb3Ir (GGA-PBE)

Data for crystalline Pm2Ni4Sb3Ir at its relaxed geometry.

Structure (extended XYZ):
```
10
Lattice="4.2580 0.0000 0.0000 0.0000 4.2580 0.0000 0.0000 0.0000 10.4277" Properties=species:S:1:pos:R:3 pbc="T T T"
Ni 0.0000 2.1290 3.8343
Ni 0.0000 0.0000 0.0000
Ni 2.1290 0.0000 6.5933
Ni 2.1290 2.1290 0.0000
Pm 0.0000 2.1290 7.7764
Pm 2.1290 0.0000 2.6513
Sb 0.0000 0.0000 5.2138
Sb 0.0000 2.1290 1.3543
Sb 2.1290 0.0000 9.0734
Ir 2.1290 2.1290 5.2138
```

**DFT total energy**: -59.30 eV/f.u.
**Crystal system**: tetragonal
**Magnetization**: 0.00 μB/f.u.
**Uncorrected formation energy**: -5.45 eV/f.u.

=====

No. 16
## PmNiSbIr (GGA-PBE)

Data for crystalline PmNiSbIr at its relaxed geometry.

Structure (extended XYZ):
```
4
Lattice="4.7567 0.0000 0.0000 2.3783 4.1194 0.0000 2.3783 1.3731 3.8838" Properties=species:S:1:pos:R:3 pbc="T T T"
Ir 7.1350 4.1194 2.9128
Pm 4.7567 2.7463 1.9419
Sb 0.0000 0.0000 0.0000
Ni 2.3783 1.3731 0.9709
```

**DFT total energy**: -24.84 eV/f.u.
**Crystal system**: cubic
**Magnetization**: 0.00 μB/f.u.
**Uncorrected formation energy**: -1.33 eV/f.u.

=====

No. 17
## Pm2Si4NiIr3 (GGA-PBE)

Data for crystalline Pm2Si4NiIr3 at its relaxed geometry.

Structure (extended XYZ):
```
10
Lattice="-3.7316 -1.2659 -1.3343 0.3338 -3.4341 2.3245 -4.2871 4.6884 7.5420" Properties=species:S:1:pos:R:3 pbc="T T T"
Si 0.0000 0.0000 0.0000
Si -1.6989 -2.3500 0.4951
Si -1.4323 0.0318 3.9755
Si -4.5538 2.3066 4.0616
Ir -0.3810 -1.1178 2.1261
Ir -2.1436 2.3442 3.7710
Ir -5.6050 3.4563 5.9110
Pm -3.0618 1.8139 6.8422
Pm -2.9242 0.5246 1.1949
Ni -3.8425 -0.0058 4.2661
```

**DFT total energy**: -73.09 eV/f.u.
**Crystal system**: tetragonal
**Magnetization**: 0.02 μB/f.u.
**Uncorrected formation energy**: -9.53 eV/f.u.

=====

No. 18
## Pm2Si4Ni3Ir (GGA-PBE)

Data for crystalline Pm2Si4Ni3Ir at its relaxed geometry.

Structure (extended XYZ):
```
10
Lattice="4.0207 0.0000 0.0000 0.0000 4.0207 0.0000 0.0000 0.0000 9.7970" Properties=species:S:1:pos:R:3 pbc="T T T"
Si 2.0104 0.0000 6.2390
Si 0.0000 0.0000 0.0000
Si 2.0104 2.0104 0.0000
Si 0.0000 2.0104 3.5580
Ni 0.0000 2.0104 1.1894
Ni 2.0104 0.0000 8.6076
Ni 0.0000 0.0000 4.8985
Pm 2.0104 0.0000 2.3590
Pm 0.0000 2.0104 7.4380
Ir 2.0104 2.0104 4.8985
```

**DFT total energy**: -66.22 eV/f.u.
**Crystal system**: tetragonal
**Magnetization**: 0.00 μB/f.u.
**Uncorrected formation energy**: -8.83 eV/f.u.

=====

No. 19
## Pm2Si3Ni12Ir (GGA-PBE)

Data for crystalline Pm2Si3Ni12Ir at its relaxed geometry.

Structure (extended XYZ):
```
18
Lattice="7.1595 -0.2633 -0.1867 3.3068 6.3556 -0.1867 3.3068 1.9248 6.0599" Properties=species:S:1:pos:R:3 pbc="T T T"
Ni 8.4370 7.0501 5.0006
Ni 6.9727 4.0587 0.2116
Ni 4.7839 5.3019 3.7606
Ni 3.4761 2.0234 3.7017
Ni 5.3362 0.9670 0.6859
Ni 6.8004 3.9584 5.4749
Ni 10.2970 3.8547 5.0006
Ni 6.8004 6.4757 1.9259
Ni 10.2970 5.9937 1.9848
Ni 6.9727 1.5414 3.7606
Ni 8.9893 2.7153 1.9259
Ni 3.4761 4.1625 0.6859
Si 1.6534 0.9624 3.0300
Si 3.5798 -0.1316 -0.0934
Si 1.6534 3.1778 -0.0934
Pm 5.4174 3.1534 2.2366
Pm 8.3558 4.8638 3.4498
Ir 0.0000 0.0000 0.0000
```

**DFT total energy**: -101.35 eV/f.u.
**Crystal system**: trigonal
**Magnetization**: 0.00 μB/f.u.
**Uncorrected formation energy**: 2.66 eV/f.u.

=====

No. 20
## PmSi3NiIr (GGA-PBE)

Data for crystalline PmSi3NiIr at its relaxed geometry.

Structure (extended XYZ):
```
12
Lattice="5.6961 0.0000 0.0000 0.0000 6.1541 0.0000 0.0000 -3.0771 6.3448" Properties=species:S:1:pos:R:3 pbc="T T T"
Si 2.8481 4.4134 0.0000
Si 0.0000 4.4134 0.0000
Si 4.2721 3.0771 3.6577
Si 2.8481 1.7407 0.0000
Si 0.0000 1.7407 0.0000
Si 1.4240 0.0000 2.6870
Pm 1.4240 3.0771 3.6763
Pm 4.2721 0.0000 2.6685
Ir 1.4240 0.0000 4.9465
Ir 4.2721 3.0771 1.3982
Ni 1.4240 0.0000 0.5488
Ni 4.2721 3.0771 5.7960
```

**DFT total energy**: -38.75 eV/f.u.
**Crystal system**: orthorhombic
**Magnetization**: 0.00 μB/f.u.
**Uncorrected formation energy**: -3.09 eV/f.u.

=====

No. 21
## PmSmNiIr (GGA-PBE)

Data for crystalline PmSmNiIr at its relaxed geometry.

Structure (extended XYZ):
```
4
Lattice="-2.9403 2.6541 0.3855 -2.7803 -2.9489 -0.9039 1.0581 -2.5447 5.0475" Properties=species:S:1:pos:R:3 pbc="T T T"
Sm -0.1164 -0.3440 1.4804
Pm -3.1553 -1.0191 3.4924
Ir -2.9217 -0.3288 0.5216
Ni -0.3513 -1.0382 4.4678
```

**DFT total energy**: -26.31 eV/f.u.
**Crystal system**: orthorhombic
**Magnetization**: 0.00 μB/f.u.

=====

No. 22
## PmSmNiIr (GGA-PBE)

Data for crystalline PmSmNiIr at its relaxed geometry.

Structure (extended XYZ):
```
4
Lattice="4.9380 0.0000 0.0000 2.4690 4.2764 0.0000 2.4690 1.4255 4.0319" Properties=species:S:1:pos:R:3 pbc="T T T"
Pm 0.0000 0.0000 0.0000
Ir 7.4070 4.2764 3.0239
Ni 2.4690 1.4255 1.0080
Sm 4.9380 2.8510 2.0159
```

**DFT total energy**: -26.06 eV/f.u.
**Crystal system**: cubic
**Magnetization**: 0.00 μB/f.u.